Tb3Dy8Tm2: optimized geometry, PBE-GGA.

Unit cell a=10.659 b=10.659 c=5.596 alpha=90.01 beta=90.01 gamma=41.87
Sites, in units of the cell vectors:
Tb1 0.000 0.000 0.000
Tb2 0.287 0.713 0.500
Tb3 0.713 0.287 0.500
Dy1 0.134 0.134 0.500
Dy2 0.181 0.602 0.000
Dy3 0.330 0.330 0.500
Dy4 0.398 0.819 0.000
Dy5 0.602 0.181 0.000
Dy6 0.670 0.670 0.500
Dy7 0.819 0.398 0.000
Dy8 0.866 0.866 0.500
Tm1 0.241 0.241 0.999
Tm2 0.759 0.759 0.001

Summary:
DFT total energy   -56.59 eV for the cell shown
Energy of formation from the pure elements   0.235 eV per atom